Record 1
VASP calculation (PBE) on a relaxed ReAgP3 crystal.

DOS at the Fermi energy: 6.01 states/eV per cell
energy of formation: 0.708 eV/atom
polymorph energy (0 for the lowest one): 0 meV per atom

Cell: 4.6603 4.6603 4.6603 Å, 90.00 90.00 90.00°
Closest atoms and distances in Å follow each position.
Fractional positions:
Re1 0.0000 0.0000 0.0000  6 P 2.33
Ag1 0.5000 0.5000 0.5000  12 P 3.30
P1 0.0000 0.5000 0.0000  2 Re 2.33
P2 0.0000 0.0000 0.5000  2 Re 2.33
P3 0.5000 0.0000 0.0000  2 Re 2.33

***

Record 2
VASP calculation (PBE) on a relaxed ReAg2P crystal.

DOS at the Fermi energy: 2.00 states/eV per cell
energy of formation: 0.616 eV/atom

Cell: 2.7868 2.7868 9.6575 Å, 90.00 90.00 119.06°
Closest atoms and distances in Å follow each position.
Fractional positions:
Ag1 0.0000 0.0000 0.0054  2 P 2.75, 6 Ag 2.79-2.83, 2 Re 2.84
Ag2 0.0000 0.0000 0.4946  2 P 2.75, 6 Ag 2.79-2.83, 2 Re 2.84
P1 0.5000 0.5000 0.2500  4 Ag 2.75, 6 P 2.79-2.83
Re1 0.5000 0.5000 0.7500  6 Re 2.79-2.83, 4 Ag 2.84

***

Record 3
VASP calculation (PBE) on a relaxed ReAg2P crystal.

DOS at the Fermi energy: 2.97 states/eV per cell
energy of formation: 0.741 eV/atom

Cell: 5.5071 5.5071 5.5071 Å, 141.08 141.08 56.22°
Closest atoms and distances in Å follow each position.
Fractional positions:
Ag1 0.0000 0.0000 0.0000  4 Ag 2.59
Ag2 0.5000 0.5000 0.0000  4 Ag 2.59
P1 0.2500 0.7500 0.5000  4 Re 2.59
Re1 0.7500 0.2500 0.5000  4 P 2.59

***

Record 4
VASP calculation (PBE) on a relaxed Re2AgP crystal.

DOS at the Fermi energy: 2.45 states/eV per cell
energy of formation: 0.455 eV/atom

Cell: 2.9101 3.7903 5.7572 Å, 90.00 90.00 90.00°
Closest atoms and distances in Å follow each position.
Fractional positions:
Ag1 0.0000 0.0000 0.4981  6 Re 2.83-2.93, 2 Ag 2.91, 4 P 2.93
P1 0.5000 0.5000 0.7930  1 Re 2.36
Re1 0.0000 0.0000 0.0063  6 Re 2.64-2.91, 4 P 2.69, 2 Ag 2.83-2.93
Re2 0.5000 0.5000 0.2026  1 P 2.36

***

Record 5
VASP calculation (PBE) on a relaxed Re2AgP crystal.

DOS at the Fermi energy: 3.16 states/eV per cell
energy of formation: 0.500 eV/atom

Cell: 2.8093 2.8093 8.7190 Å, 90.00 90.00 117.02°
Closest atoms and distances in Å follow each position.
Fractional positions:
Ag1 0.5000 0.5000 0.2500  6 Ag 2.81-2.93, 4 Re 2.91
P1 0.5000 0.5000 0.7500  4 Re 2.36
Re1 0.0000 0.0000 0.9615  2 P 2.36
Re2 0.0000 0.0000 0.5385  2 P 2.36

***

Record 6
VASP calculation (PBE) on a relaxed Re2AgP crystal.

DOS at the Fermi energy: 3.66 states/eV per cell
energy of formation: 0.683 eV/atom

Cell: 4.3643 4.3643 3.0342 Å, 90.00 90.00 90.00°
Closest atoms and distances in Å follow each position.
Fractional positions:
Ag1 0.5000 0.0000 0.5000  8 Re 2.66
P1 0.0000 0.5000 0.5000  8 Re 2.66
Re1 0.0000 0.0000 0.0000  4 P 2.66, 4 Ag 2.66
Re2 0.5000 0.5000 0.0000  4 Ag 2.66, 4 P 2.66

***

Record 7
VASP calculation (PBE) on a relaxed Re2AgP crystal.

DOS at the Fermi energy: 1.77 states/eV per cell
energy of formation: 0.358 eV/atom

Cell: 4.2604 2.8983 5.3015 Å, 74.19 90.00 90.00°
Closest atoms and distances in Å follow each position.
Fractional positions:
Ag1 0.0000 0.5542 0.5163  3 Re 2.66-2.84, 2 Ag 2.90, 4 P 2.95-2.96
P1 0.5000 0.9115 0.8003  4 Re 2.35-2.46
Re1 0.0000 0.8160 0.9947  2 P 2.35
Re2 0.5000 0.2184 0.1886  2 P 2.45-2.46

***

Record 8
VASP calculation (PBE) on a relaxed Re2AgP crystal.

DOS at the Fermi energy: 2.78 states/eV per cell
energy of formation: 0.812 eV/atom

Cell: 2.8865 4.6343 4.6079 Å, 90.00 90.00 90.00°
Closest atoms and distances in Å follow each position.
Fractional positions:
Ag1 0.5000 0.0000 0.5000  4 Re 2.72, 4 P 2.73, 2 Ag 2.89
P1 0.0000 0.5000 0.5000  4 Re 2.72, 4 Ag 2.73, 2 P 2.89
Re1 0.0000 0.0000 0.0000  4 Ag 2.72, 6 Re 2.73-2.89
Re2 0.5000 0.5000 0.0000  4 P 2.72, 6 Re 2.73-2.89

***

Record 9
VASP calculation (PBE) on a relaxed Re2AgP crystal.

DOS at the Fermi energy: 3.14 states/eV per cell
energy of formation: 0.281 eV/atom

Cell: 2.9327 2.9327 6.8625 Å, 90.00 90.00 90.00°
Closest atoms and distances in Å follow each position.
Fractional positions:
Ag1 0.5000 0.5000 0.2500  4 Ag 2.93, 8 Re 2.94
P1 0.5000 0.5000 0.7500  8 Re 2.47
Re1 0.0000 0.0000 0.9457  4 P 2.47, 1 Re 2.69
Re2 0.0000 0.0000 0.5543  4 P 2.47, 1 Re 2.69

***

Record 10
VASP calculation (PBE) on a relaxed Re2AgP crystal.

DOS at the Fermi energy: 2.67 states/eV per cell
energy of formation: 0.246 eV/atom

Cell: 2.9034 2.9034 7.3231 Å, 90.00 90.00 90.00°
Closest atoms and distances in Å follow each position.
Fractional positions:
Ag1 0.0000 0.0000 0.5092  4 P 2.90, 4 Ag 2.90, 4 Re 2.94
P1 0.5000 0.5000 0.7884  4 Re 2.49
Re1 0.0000 0.0000 0.9814  4 P 2.49, 4 Re 2.70
Re2 0.5000 0.5000 0.2210  8 Re 2.70-2.90, 4 Ag 2.94

***

Record 11
VASP calculation (PBE) on a relaxed ReAg2P2 crystal.

DOS at the Fermi energy: 4.35 states/eV per cell
energy of formation: 0.869 eV/atom
polymorph energy (0 for the lowest one): 0 meV per atom

Cell: 3.1001 3.1001 9.1904 Å, 80.29 80.29 90.00°
Closest atoms and distances in Å follow each position.
Fractional positions:
Re1 0.0000 0.0000 0.0000  8 Ag 2.85, 4 Re 3.10
Ag1 0.3978 0.3978 0.2043  4 Re 2.85, 4 P 3.06, 4 Ag 3.10
Ag2 0.6022 0.6022 0.7957  4 Re 2.85, 4 P 3.06, 4 Ag 3.10
P1 0.7500 0.2500 0.5000  4 P 2.19
P2 0.2500 0.7500 0.5000  4 P 2.19

***

Record 12
VASP calculation (PBE) on a relaxed Re2AgP crystal.

DOS at the Fermi energy: 2.51 states/eV per cell
energy of formation: 0.785 eV/atom

Cell: 5.2798 5.2798 2.7395 Å, 76.95 76.95 117.37°
Closest atoms and distances in Å follow each position.
Fractional positions:
Ag1 0.5000 0.0000 0.5000  4 Re 2.69, 2 Ag 2.74, 4 P 2.74-2.92
P1 0.0000 0.5000 0.5000  4 Re 2.69, 2 P 2.74, 4 Ag 2.74-2.92
Re1 0.0000 0.0000 0.0000  2 P 2.69, 2 Ag 2.69, 6 Re 2.74-2.92
Re2 0.5000 0.5000 0.0000  2 Ag 2.69, 2 P 2.69, 6 Re 2.74-2.92

***

Record 13
VASP calculation (PBE) on a relaxed Re2AgP crystal.

DOS at the Fermi energy: 2.99 states/eV per cell
energy of formation: 0.707 eV/atom

Cell: 4.7450 4.7450 4.7450 Å, 131.00 131.00 71.82°
Closest atoms and distances in Å follow each position.
Fractional positions:
Ag1 0.5000 0.5000 0.0000  8 Re 2.75-2.78, 4 P 2.75
P1 0.7500 0.2500 0.5000  4 Ag 2.75, 8 Re 2.75-2.78
Re1 0.0000 0.0000 0.0000  4 Re 2.75, 4 P 2.75, 4 Ag 2.78
Re2 0.2500 0.7500 0.5000  4 Ag 2.75, 4 Re 2.75, 4 P 2.78

***

Record 14
VASP calculation (PBE) on a relaxed ReAg2P crystal.

DOS at the Fermi energy: 3.30 states/eV per cell
energy of formation: 0.701 eV/atom

Cell: 4.6475 3.7103 3.7103 Å, 90.00 90.00 90.00°
Closest atoms and distances in Å follow each position.
Fractional positions:
Ag1 0.0000 0.0000 0.0000  4 Ag 2.62
Ag2 0.0000 0.5000 0.5000  4 Ag 2.62
P1 0.5000 0.5000 0.0000  4 Re 2.62
Re1 0.5000 0.0000 0.5000  4 P 2.62

***

Record 15
VASP calculation (PBE) on a relaxed ReAgSnP2 crystal.

DOS at the Fermi energy: 4.45 states/eV per cell
energy of formation: 1.770 eV/atom

Cell: 4.7022 5.2822 4.7022 Å, 90.00 90.00 90.00°
Closest atoms and distances in Å follow each position.
Fractional positions:
Re1 0.5000 0.5000 0.5000  4 Sn 3.32, 8 P 3.54
Sn1 0.0000 0.5000 0.0000  2 Ag 2.64
Ag1 0.0000 0.0000 0.0000  4 P 2.35
P1 0.0000 0.0000 0.5000  2 Ag 2.35
P2 0.5000 0.0000 0.0000  2 Ag 2.35

***

Record 16
VASP calculation (PBE) on a relaxed SrReAgP2 crystal.

DOS at the Fermi energy: 5.72 states/eV per cell
energy of formation: 2.270 eV/atom

Cell: 5.4155 5.6796 5.4155 Å, 90.00 90.00 90.00°
Closest atoms and distances in Å follow each position.
Fractional positions:
Re1 0.0000 0.5000 0.0000  2 Sr 2.84
P1 0.0000 0.0000 0.5000  2 Sr 2.71
P2 0.5000 0.0000 0.0000  2 Sr 2.71
Ag1 0.5000 0.5000 0.5000  4 Re 3.83, 8 P 3.92
Sr1 0.0000 0.0000 0.0000  4 P 2.71, 2 Re 2.84

***

Record 17
VASP calculation (PBE) on a relaxed AgP2Rh crystal.

DOS at the Fermi energy: 1.65 states/eV per cell
energy of formation: 0.184 eV/atom
polymorph energy (0 for the lowest one): 233 meV per atom

Cell: 4.3917 4.3917 4.3917 Å, 60.00 60.00 60.00°
Closest atoms and distances in Å follow each position.
Fractional positions:
P1 0.2500 0.2500 0.2500  4 Rh 2.69, 4 Ag 2.69
P2 0.7500 0.7500 0.7500  4 Rh 2.69, 4 Ag 2.69
Rh1 0.0000 0.0000 0.0000  8 P 2.69
Ag1 0.5000 0.5000 0.5000  8 P 2.69

***

Record 18
VASP calculation (PBE) on a relaxed Ag3PRh crystal.

DOS at the Fermi energy: 4.59 states/eV per cell
energy of formation: 1.387 eV/atom
polymorph energy (0 for the lowest one): 732 meV per atom

Cell: 4.9921 4.9921 4.9921 Å, 90.00 90.00 90.00°
Closest atoms and distances in Å follow each position.
Fractional positions:
P1 0.5000 0.5000 0.5000  12 Ag 3.53
Rh1 0.0000 0.0000 0.0000  6 Ag 2.50
Ag1 0.0000 0.5000 0.0000  2 Rh 2.50
Ag2 0.0000 0.0000 0.5000  2 Rh 2.50
Ag3 0.5000 0.0000 0.0000  2 Rh 2.50

***

Record 19
VASP calculation (PBE) on a relaxed AgP2Rh crystal.

DOS at the Fermi energy: 2.07 states/eV per cell
energy of formation: 0.125 eV/atom
polymorph energy (0 for the lowest one): 173 meV per atom

Cell: 3.3213 3.3213 5.6494 Å, 90.00 90.00 90.00°
Closest atoms and distances in Å follow each position.
Fractional positions:
Ag1 0.5000 0.5000 0.7721  5 P 2.66-2.69
P1 0.0000 0.0000 0.0028  1 Rh 2.38
P2 0.5000 0.5000 0.3017  4 Rh 2.45, 1 Ag 2.66
Rh1 0.0000 0.0000 0.4234  5 P 2.38-2.45

***

Record 20
VASP calculation (PBE) on a relaxed Ag3PRh crystal.

DOS at the Fermi energy: 9.26 states/eV per cell
energy of formation: 0.655 eV/atom
polymorph energy (0 for the lowest one): 0 meV per atom

Cell: 4.6342 4.6342 4.6342 Å, 90.00 90.00 90.00°
Closest atoms and distances in Å follow each position.
Fractional positions:
P1 0.0000 0.0000 0.0000  6 Ag 2.32
Rh1 0.5000 0.5000 0.5000  12 Ag 3.28
Ag1 0.0000 0.5000 0.0000  2 P 2.32
Ag2 0.0000 0.0000 0.5000  2 P 2.32
Ag3 0.5000 0.0000 0.0000  2 P 2.32